Record 1
First-principles (PBE) data for a relaxed structure of VB, as listed in the Alexandria database.

Properties
- Formation energy from the elements: 0.8395 eV per atom

Cell: 5.7635 5.7635 5.7635 Å, 90.00 90.00 90.00°
Atoms (fractional coordinates):
V  0.0000  0.2500  0.5000
V  0.0000  0.7500  0.5000
V  0.2500  0.5000  0.0000
V  0.5000  0.0000  0.2500
V  0.5000  0.0000  0.7500
V  0.7500  0.5000  0.0000
B  0.0000  0.5000  0.2500
B  0.0000  0.5000  0.7500
B  0.2500  0.0000  0.5000
B  0.5000  0.2500  0.0000
B  0.5000  0.7500  0.0000
B  0.7500  0.0000  0.5000

---

Record 2
First-principles (PBE) data for a relaxed structure of TlInPN2, as listed in the Alexandria database.

Properties
- Excess energy over the best structure of this formula in the dataset: 0 meV/atom
- E_form (uncorrected): 1684 meV per atom

Cell: 4.1642 4.1642 7.0204 Å, 90.00 90.00 90.00°
Atoms (fractional coordinates):
Tl  0.0000  0.0000  0.0000
In  0.0000  0.0000  0.5000
P  0.5000  0.5000  0.0000
N  0.0000  0.5000  0.5000
N  0.5000  0.0000  0.5000

---

Record 3
First-principles (PBE) data for a relaxed structure of La2PrH8, as listed in the Alexandria database.

Cell: 6.8064 6.8064 6.8064 Å, 146.32 132.85 59.19°
Atoms (fractional coordinates):
La  0.1700  0.1700  0.0000
La  0.8300  0.8300  0.0000
Pr  0.5000  0.5000  0.0000
H  0.0824  0.3414  0.7410
H  0.2365  0.0000  0.2365
H  0.3355  0.8355  0.5000
H  0.3996  0.6586  0.7410
H  0.6004  0.3414  0.2590
H  0.6645  0.1645  0.5000
H  0.7635  0.0000  0.7635
H  0.9176  0.6586  0.2590

---

Record 4
First-principles (PBE) data for a relaxed structure of CoTe2MoI, as listed in the Alexandria database.

Properties
- Excess energy over the best structure of this formula in the dataset: 53 meV/atom
- E_form (uncorrected): 1008 meV per atom

Cell: 5.2076 5.2076 5.7915 Å, 90.00 90.00 90.00°
Atoms (fractional coordinates):
Co  0.0000  0.0000  0.0000
Te  0.0000  0.5000  0.5000
Te  0.5000  0.0000  0.5000
Mo  0.5000  0.5000  0.5000
I  0.5000  0.5000  0.0000

---

Record 5
First-principles (PBE) data for a relaxed structure of LiCe2As, as listed in the Alexandria database.

Properties
- Formation energy from the elements: -0.5453 eV per atom
- Excess energy over the best structure of this formula in the dataset: 0 meV/atom

Cell: 4.3670 4.3670 4.5034 Å, 90.00 90.00 90.00°
Atoms (fractional coordinates):
Li  0.0000  0.0000  0.0000
Ce  0.0000  0.5000  0.5000
Ce  0.5000  0.0000  0.5000
As  0.5000  0.5000  0.0000

---

Record 6
First-principles (PBE) data for a relaxed structure of UMnGaFe, as listed in the Alexandria database.

Properties
- Formation energy from the elements: -0.0351 eV per atom

Cell: 6.1882 6.1882 6.1882 Å, 90.00 90.00 90.00°
Atoms (fractional coordinates):
U  0.0000  0.0000  0.0000
U  0.0000  0.5000  0.5000
U  0.5000  0.0000  0.5000
U  0.5000  0.5000  0.0000
Mn  0.2500  0.2500  0.2500
Mn  0.2500  0.7500  0.7500
Mn  0.7500  0.2500  0.7500
Mn  0.7500  0.7500  0.2500
Ga  0.0000  0.0000  0.5000
Ga  0.0000  0.5000  0.0000
Ga  0.5000  0.0000  0.0000
Ga  0.5000  0.5000  0.5000
Fe  0.2500  0.2500  0.7500
Fe  0.2500  0.7500  0.2500
Fe  0.7500  0.2500  0.2500
Fe  0.7500  0.7500  0.7500

---

| no. | M_tot (Bohr magnetons per cell) | total energy (eV/f.u.) | calculated density (g cm⁻³) |
| --- | --- | --- | --- |
| 1 | 0.0 | -14.117 | 3.21 |
| 2 | 3.4 | -18.745 | 5.16 |
| 3 | 0.0 | -48.112 | 5.58 |
| 4 | 1.7 | -20.731 | 5.68 |
| 5 | 0.8 | -20.612 | 7.00 |
| 6 | 1.5 | -32.088 | 11.73 |